(1)
A geometry-optimized BSe structure. Source: the Alexandria database, functional GGA-PBE.

Cell: 2.8030 3.9569 7.4132 Å, 103.70 92.08 110.41°
Last column: nearest neighbours and their distance in Å.
Positions (direct):
B: 0.1788 0.3577 0.0000  2 B 1.75-1.76
B: 0.8212 0.6423 0.0000  2 B 1.75-1.76
Se: 0.0811 0.1206 0.2266  2 B 2.09
Se: 0.9189 0.8794 0.7734  2 B 2.09

Computed properties:
E_form (uncorrected): 0.07 eV per atom
Crystal system: triclinic
Total DFT energy (no corrections): -5.01 eV per atom
N(E_F): 1.49 states/eV per cell
SG: No. 2

(2)
A geometry-optimized BSe structure. Source: the Alexandria database, functional GGA-PBE.

Cell: 5.0021 5.0701 5.4697 Å, 87.54 84.03 65.85°
Last column: nearest neighbours and their distance in Å.
Positions (direct):
B: 0.1191 0.3814 0.1186  1 B 1.89, 2 Se 1.91
B: 0.8809 0.6186 0.8814  1 B 1.89, 2 Se 1.91
Se: 0.2269 0.2856 0.7778  2 B 1.91
Se: 0.7731 0.7144 0.2222  2 B 1.91

Computed properties:
E_form (uncorrected): 0.85 eV per atom
Crystal system: triclinic
Total DFT energy (no corrections): -4.23 eV per atom
SG: No. 2

(3)
A geometry-optimized BSe2 structure. Source: the Alexandria database, functional GGA-PBE.

Cell: 7.9292 11.2939 9.4145 Å, 90.00 118.08 90.00°
Last column: nearest neighbours and their distance in Å.
Positions (direct):
B: 0.0175 0.1305 0.2540  3 Se 1.93-1.97
B: 0.0175 0.3695 0.7540  3 Se 1.93-1.97
B: 0.1748 0.6357 0.7818  3 Se 1.94-1.97
B: 0.1748 0.8643 0.2818  3 Se 1.94-1.97
B: 0.8252 0.1357 0.7182  3 Se 1.94-1.97
B: 0.8252 0.3643 0.2182  3 Se 1.94-1.97
B: 0.9825 0.6305 0.2460  3 Se 1.93-1.97
B: 0.9825 0.8695 0.7460  3 Se 1.93-1.97
Se: 0.0723 0.1991 0.7606  2 B 1.94-1.97
Se: 0.0723 0.3009 0.2606  2 B 1.94-1.97
Se: 0.2317 0.5744 0.2876  1 B 1.93
Se: 0.2317 0.9256 0.7876  1 B 1.93
Se: 0.2418 0.0333 0.2949  2 B 1.97
Se: 0.2418 0.4667 0.7949  2 B 1.97
Se: 0.3858 0.7393 0.8168  1 B 1.94
Se: 0.3858 0.7607 0.3168  1 B 1.94
Se: 0.6142 0.2393 0.6832  1 B 1.94
Se: 0.6142 0.2607 0.1832  1 B 1.94
Se: 0.7582 0.5333 0.2051  2 B 1.97
Se: 0.7582 0.9667 0.7051  2 B 1.97
Se: 0.7683 0.0744 0.2124  1 B 1.93
Se: 0.7683 0.4256 0.7124  1 B 1.93
Se: 0.9277 0.6991 0.7394  2 B 1.94-1.97
Se: 0.9277 0.8009 0.2394  2 B 1.94-1.97

Computed properties:
E_form (uncorrected): -0.14 eV per atom
Crystal system: monoclinic
Total DFT energy (no corrections): -4.69 eV per atom
N(E_F): 0.00 states/eV per cell
SG: No. 14

(4)
A geometry-optimized BSe structure. Source: the Alexandria database, functional GGA-PBE.

Cell: 5.8237 5.8237 5.8237 Å, 109.47 109.47 109.47°
Last column: nearest neighbours and their distance in Å.
Positions (direct):
B: 0.0000 0.0000 0.6898  4 Se 2.05-2.18
B: 0.0000 0.6898 0.0000  4 Se 2.05-2.18
B: 0.3102 0.3102 0.3102  4 Se 2.05-2.18
B: 0.6898 0.0000 0.0000  4 Se 2.05-2.18
Se: 0.0000 0.0000 0.3380  4 B 2.05-2.18
Se: 0.0000 0.3380 0.0000  4 B 2.05-2.18
Se: 0.3380 0.0000 0.0000  4 B 2.05-2.18
Se: 0.6620 0.6620 0.6620  4 B 2.05-2.18

Computed properties:
E_form (uncorrected): 0.98 eV per atom
Crystal system: cubic
Total DFT energy (no corrections): -4.10 eV per atom
N(E_F): 4.71 states/eV per cell
SG: No. 217

(5)
A geometry-optimized BSe structure. Source: the Alexandria database, functional GGA-PBE.

Cell: 3.2739 3.2739 4.0823 Å, 122.48 122.48 60.48°
Last column: nearest neighbours and their distance in Å.
Positions (direct):
B: 0.0000 0.0000 0.0000  3 Se 2.09
Se: 0.4593 0.4593 0.2760  3 B 2.09

Computed properties:
E_form (uncorrected): 0.67 eV per atom
Crystal system: monoclinic
Total DFT energy (no corrections): -4.41 eV per atom
N(E_F): 0.64 states/eV per cell
SG: No. 8

(6)
A geometry-optimized BSe structure. Source: the Alexandria database, functional GGA-PBE.

Cell: 9.4166 9.4166 3.6746 Å, 90.00 90.00 90.00°
Last column: nearest neighbours and their distance in Å.
Positions (direct):
B: 0.0761 0.3684 0.0000  4 Se 2.09-2.25
B: 0.1720 0.7005 0.5000  3 Se 1.98-2.09
B: 0.2995 0.1720 0.5000  3 Se 1.98-2.09
B: 0.3684 0.9239 0.0000  4 Se 2.09-2.25
B: 0.6315 0.0761 0.0000  4 Se 2.09-2.25
B: 0.7005 0.8280 0.5000  3 Se 1.98-2.09
B: 0.8280 0.2995 0.5000  3 Se 1.98-2.09
B: 0.9239 0.6315 0.0000  4 Se 2.09-2.25
Se: 0.1078 0.2590 0.5000  3 B 1.98-2.13
Se: 0.1432 0.5981 0.0000  4 B 2.09-2.25
Se: 0.2590 0.8922 0.5000  3 B 1.98-2.13
Se: 0.4019 0.1432 0.0000  4 B 2.09-2.25
Se: 0.5981 0.8568 0.0000  4 B 2.09-2.25
Se: 0.7410 0.1078 0.5000  3 B 1.98-2.13
Se: 0.8568 0.4019 0.0000  4 B 2.09-2.25
Se: 0.8922 0.7410 0.5000  3 B 1.98-2.13

Computed properties:
E_form (uncorrected): 0.79 eV per atom
Crystal system: tetragonal
Total DFT energy (no corrections): -4.29 eV per atom
N(E_F): 4.68 states/eV per cell
SG: No. 83

(7)
A geometry-optimized BSe structure. Source: the Alexandria database, functional GGA-PBE.

Cell: 6.4000 6.4000 3.2235 Å, 90.00 90.00 90.00°
Last column: nearest neighbours and their distance in Å.
Positions (direct):
B: 0.1697 0.1697 0.0000  4 Se 2.06-2.29
B: 0.3303 0.6697 0.5000  4 Se 2.06-2.29
B: 0.6697 0.3303 0.5000  4 Se 2.06-2.29
B: 0.8303 0.8303 0.0000  4 Se 2.06-2.29
Se: 0.1878 0.8122 0.0000  4 B 2.06-2.29
Se: 0.3122 0.3122 0.5000  4 B 2.06-2.29
Se: 0.6878 0.6878 0.5000  4 B 2.06-2.29
Se: 0.8122 0.1878 0.0000  4 B 2.06-2.29

Computed properties:
E_form (uncorrected): 0.83 eV per atom
Crystal system: tetragonal
Total DFT energy (no corrections): -4.25 eV per atom
N(E_F): 3.02 states/eV per cell
SG: No. 136

(8)
A geometry-optimized BSe structure. Source: the Alexandria database, functional GGA-PBE.

Cell: 3.7601 3.7601 4.8978 Å, 90.00 90.00 120.00°
Last column: nearest neighbours and their distance in Å.
Positions (direct):
B: 0.3333 0.6667 0.0000  4 Se 2.09-2.20
B: 0.6667 0.3333 0.5000  4 Se 2.09-2.20
Se: 0.3333 0.6667 0.4265  4 B 2.09-2.20
Se: 0.6667 0.3333 0.9265  4 B 2.09-2.20

Computed properties:
E_form (uncorrected): 0.71 eV per atom
Crystal system: hexagonal
Total DFT energy (no corrections): -4.37 eV per atom
N(E_F): 1.44 states/eV per cell
SG: No. 186

(9)
A geometry-optimized BSe structure. Source: the Alexandria database, functional GGA-PBE.

Cell: 3.2745 4.1585 7.1694 Å, 73.33 77.19 66.81°
Last column: nearest neighbours and their distance in Å.
Positions (direct):
B: 0.1148 0.3024 0.4670  1 B 1.68
B: 0.8852 0.6976 0.5330  1 B 1.68
Se: 0.2448 0.8204 0.6958  3 B 2.11-2.15
Se: 0.7552 0.1795 0.3042  3 B 2.11-2.15

Computed properties:
E_form (uncorrected): -0.06 eV per atom
Crystal system: triclinic
Total DFT energy (no corrections): -5.14 eV per atom
N(E_F): 0.00 states/eV per cell
SG: No. 2

(10)
A geometry-optimized SiBSe2 structure. Source: the Alexandria database, functional GGA-PBE.

Cell: 7.2360 7.2360 7.2360 Å, 32.00 32.00 32.00°
Last column: nearest neighbours and their distance in Å.
Positions (direct):
Si: 0.0000 0.0000 0.0000  6 Se 2.79
B: 0.5000 0.5000 0.5000  2 Se 1.86
Se: 0.4098 0.4098 0.4098  1 B 1.86
Se: 0.5902 0.5902 0.5902  1 B 1.86

Computed properties:
E_form (uncorrected): 0.61 eV per atom
Crystal system: trigonal
Total DFT energy (no corrections): -4.16 eV per atom
N(E_F): 3.93 states/eV per cell
SG: No. 166

(11)
A geometry-optimized SiBSe3 structure. Source: the Alexandria database, functional GGA-PBE.

Cell: 4.8249 4.8249 4.8249 Å, 90.00 90.00 90.00°
Last column: nearest neighbours and their distance in Å.
Positions (direct):
Si: 0.0000 0.0000 0.0000  6 Se 2.41
B: 0.5000 0.5000 0.5000  12 Se 3.41
Se: 0.0000 0.0000 0.5000  2 Si 2.41
Se: 0.0000 0.5000 0.0000  2 Si 2.41
Se: 0.5000 0.0000 0.0000  2 Si 2.41

Computed properties:
E_form (uncorrected): 1.14 eV per atom
Crystal system: cubic
Total DFT energy (no corrections): -3.37 eV per atom
N(E_F): 3.24 states/eV per cell
SG: No. 221

(12)
A geometry-optimized SiBSe2 structure. Source: the Alexandria database, functional GGA-PBE.

Cell: 5.9591 5.9591 5.9591 Å, 118.38 118.38 92.82°
Last column: nearest neighbours and their distance in Å.
Positions (direct):
Si: 0.0000 0.0000 0.0000  4 Se 2.74
Si: 0.7500 0.2500 0.5000  4 Se 2.74
B: 0.2500 0.7500 0.5000  4 Se 2.10
B: 0.5000 0.5000 0.0000  4 Se 2.10
Se: 0.2084 0.6250 0.0834  2 B 2.10
Se: 0.3750 0.4584 0.5834  2 B 2.10
Se: 0.5416 0.1250 0.9166  2 B 2.10
Se: 0.8750 0.7916 0.4166  2 B 2.10

Computed properties:
E_form (uncorrected): 0.46 eV per atom
Crystal system: tetragonal
Total DFT energy (no corrections): -4.30 eV per atom
N(E_F): 1.67 states/eV per cell
SG: No. 122